PBE SrY2Tl, relaxed; excess energy over the best structure of this formula in the dataset = 88.2 meV/atom; E = -4.310 eV/atom
1.0
-0.398 -1.010 -4.881
-2.889 -3.993 1.061
-4.112 2.904 -0.266
Y Tl Sr
2 1 1
Direct
0.000 0.500 0.000
0.000 0.000 0.500
0.500 0.000 0.000
0.500 0.500 0.500

***

PBE SrYTlZn, relaxed; E = -3.222 eV/atom
1.0
-3.219 2.545 3.571
-4.241 -2.614 2.182
0.094 -1.431 5.247
Sr Tl Y Zn
1 1 1 1
Direct
0.250 0.250 0.250
0.500 0.500 0.500
0.750 0.750 0.750
0.000 0.000 0.000

***

PBE SrY2TlZn, relaxed; E = -3.516 eV/atom
1.0
5.464 0.000 0.000
0.000 5.910 0.000
0.000 0.000 5.464
Sr Y Zn Tl
1 2 1 1
Direct
0.000 0.500 0.000
0.500 0.000 0.000
0.000 0.000 0.500
0.000 0.000 0.000
0.500 0.500 0.500

***

PBE SrYZr2Tl, relaxed; E = -4.388 eV/atom
1.0
5.343 0.000 0.000
0.000 6.042 0.000
0.000 0.000 5.343
Zr Sr Y Tl
2 1 1 1
Direct
0.500 0.000 0.000
0.000 0.000 0.500
0.000 0.500 0.000
0.000 0.000 0.000
0.500 0.500 0.500

***

PBE SrTl3Zn3, relaxed; E = -1.632 eV/atom
1.0
-7.332 -1.187 1.752
1.566 -7.292 1.612
1.424 1.908 7.250
Zn Tl Sr
6 6 2
Direct
0.500 0.000 0.250
0.750 0.500 0.000
0.000 0.250 0.500
0.500 0.000 0.750
0.250 0.500 0.000
0.000 0.750 0.500
0.000 0.500 0.750
0.000 0.500 0.250
0.750 0.000 0.500
0.500 0.750 0.000
0.250 0.000 0.500
0.500 0.250 0.000
0.500 0.500 0.500
0.000 0.000 0.000

***

PBE Sr11Tl9Zn4, relaxed; E = -2.197 eV/atom
1.0
-1.204 -3.643 1.464
12.466 -1.347 6.898
-9.982 6.490 7.940
Sr Tl Zn
11 9 4
Direct
0.000 0.167 0.833
0.000 0.071 0.413
0.000 0.711 0.711
0.000 0.413 0.071
0.000 0.587 0.929
0.000 0.365 0.635
0.000 0.929 0.587
0.000 0.833 0.167
0.000 0.000 0.000
0.000 0.289 0.289
0.000 0.635 0.365
0.500 0.213 0.065
0.500 0.158 0.629
0.500 0.065 0.213
0.500 0.629 0.158
0.500 0.500 0.500
0.500 0.371 0.842
0.500 0.842 0.371
0.500 0.787 0.935
0.500 0.935 0.787
0.500 0.744 0.551
0.500 0.551 0.744
0.500 0.449 0.256
0.500 0.256 0.449

***

PBE Sr2Tl2Zn, relaxed; excess energy over the best structure of this formula in the dataset = 0.0 meV/atom; E = -2.202 eV/atom
1.0
-3.702 -2.866 1.029
1.698 -6.311 -0.304
0.603 -0.813 11.074
Sr Tl Zn
4 4 2
Direct
0.077 0.737 0.110
0.329 0.681 0.661
0.671 0.319 0.339
0.923 0.263 0.890
0.908 0.748 0.437
0.355 0.170 0.120
0.645 0.830 0.880
0.092 0.252 0.563
0.624 0.091 0.660
0.376 0.909 0.340

***

PBE Sr2Tl2Zn, relaxed; excess energy over the best structure of this formula in the dataset = 120.0 meV/atom; E = -2.082 eV/atom
1.0
-0.924 0.907 -7.854
4.227 -6.625 -1.262
-4.339 -2.804 0.187
Zn Tl Sr
2 4 4
Direct
0.500 0.500 0.000
0.000 0.000 0.000
0.860 0.640 0.000
0.640 0.140 0.000
0.140 0.360 0.000
0.360 0.860 0.000
0.169 0.669 0.500
0.331 0.169 0.500
0.669 0.831 0.500
0.831 0.331 0.500